This record from Alexandria describes an optimized crystal structure of LiCrCu. The functional is PBE-GGA.

The calculated formation energy comes out at 0.300 eV per atom. The calculation puts the energy above the lowest structure with this stoichiometry at 0.16 eV per formula unit. For the magnetic moment, the calculation gives 0.0 μB per cell. The calculation puts the volume at 147 Å³/cell.

It has space group Fmm2 (No. 42), with a = 2.9317 Å, b = 3.7931 Å, c = 13.2303 Å, α = 90.00°, β = 90.00° and γ = 90.00°. Symmetry generates all atoms from Li at (0.0000, 0.0000, 0.0000), Cr at (0.0000, 0.0000, 0.3238) and Cu at (0.0000, 0.0000, 0.6641).

This record from Alexandria describes an optimized crystal structure of La6Ru2BrCl3. The functional is PBE-GGA.

Its uncorrected formation energy is -1.16 eV per atom. For the magnetic moment, the calculation gives 0.0 μB per cell. The calculation puts the volume at 686 Å³/cell.

It has space group C2/m (No. 12), with a = 18.8104 Å, b = 4.1898 Å, c = 8.9072 Å, α = 90.00°, β = 102.08° and γ = 90.00°. Symmetry generates all atoms from La at (0.0251, 0.0000, 0.2734), La at (0.1744, 0.5000, 0.5656), La at (0.1824, 0.5000, 0.1264), Ru at (0.1698, 0.0000, 0.3318), Br at (0.0000, 0.5000, 0.0000), Cl at (0.0000, 0.5000, 0.5000) and Cl at (0.1455, 0.0000, 0.8293).

This record from Alexandria describes an optimized crystal structure of SmY2PaN4. The functional is PBE-GGA.

Its uncorrected formation energy is -1.65 eV per atom. For the magnetic moment, the calculation gives 0.0 μB per cell. The calculation puts the volume at 122 Å³/cell.

It has space group P2/m (No. 10), with a = 6.0477 Å, b = 3.5234 Å, c = 6.0778 Å, α = 90.00°, β = 109.23° and γ = 90.00°. Symmetry generates all atoms from Sm at (0.0000, 0.0000, 0.0000), Y at (0.5000, 0.0000, 0.5000), Y at (0.5000, 0.5000, 0.0000), Pa at (0.0000, 0.5000, 0.5000), N at (0.2427, 0.0000, 0.7361) and N at (0.2441, 0.5000, 0.2677).

This record from Alexandria describes an optimized crystal structure of TaPOs2. The functional is PBE-GGA.

The calculated formation energy comes out at -0.269 eV per atom. For the magnetic moment, the calculation gives 0.0 μB per cell. The calculation puts the volume at 115 Å³/cell.

It has space group Immm (No. 71), with a = 2.8941 Å, b = 4.4344 Å, c = 8.9921 Å, α = 90.00°, β = 90.00° and γ = 90.00°. Symmetry generates all atoms from Ta at (0.0000, 0.0000, 0.0000), P at (0.0000, 0.0000, 0.5000) and Os at (0.0000, 0.5000, 0.2139).

This record from Alexandria describes an optimized crystal structure of RuRh2F. The functional is PBE-GGA.

Its uncorrected formation energy is 0.37 eV per atom. The calculation puts the energy above the lowest structure with this stoichiometry at 0.46 eV per formula unit. For the magnetic moment, the calculation gives 0.0 μB per cell. The calculation puts the volume at 229 Å³/cell.

It has space group I-42d (No. 122), with a = 6.4630 Å, b = 6.4630 Å, c = 5.4717 Å, α = 90.00°, β = 90.00° and γ = 90.00°. Symmetry generates all atoms from Ru at (0.0000, 0.0000, 0.0000), Rh at (0.2335, 0.7500, 0.6250) and F at (0.0000, 0.0000, 0.5000).

This record from Alexandria describes an optimized crystal structure of Y2NF. The functional is PBE-GGA.

Its uncorrected formation energy is -1.89 eV per atom. For the magnetic moment, the calculation gives 7.3 μB per cell. The calculation puts the volume at 322 Å³/cell.

It has space group I-42d (No. 122), with a = 5.4895 Å, b = 5.4895 Å, c = 10.6718 Å, α = 90.00°, β = 90.00° and γ = 90.00°. Symmetry generates all atoms from Y at (0.2166, 0.2500, 0.1250), N at (0.0000, 0.0000, 0.0000) and F at (0.0000, 0.0000, 0.5000).

This record from Alexandria describes an optimized crystal structure of LiCaSe2. The functional is PBE-GGA.

Its uncorrected formation energy is -1.24 eV per atom. For the magnetic moment, the calculation gives 0.0 μB per cell. The calculation puts the volume at 358 Å³/cell.

It has space group I-42d (No. 122), with a = 7.4248 Å, b = 7.4248 Å, c = 6.4901 Å, α = 90.00°, β = 90.00° and γ = 90.00°. Symmetry generates all atoms from Li at (0.0000, 0.0000, 0.0000), Ca at (0.0000, 0.0000, 0.5000) and Se at (0.2229, 0.7500, 0.1250).

This record from Alexandria describes an optimized crystal structure of IrPtSe2. The functional is PBE-GGA.

Its uncorrected formation energy is 0.26 eV per atom. For the magnetic moment, the calculation gives 0.0 μB per cell. The calculation puts the volume at 73 Å³/cell.

It has space group P4/mmm (No. 123), with a = 5.0957 Å, b = 5.0957 Å, c = 2.8142 Å, α = 90.00°, β = 90.00° and γ = 90.00°. Symmetry generates all atoms from Ir at (0.0000, 0.0000, 0.0000), Pt at (0.5000, 0.5000, 0.0000) and Se at (0.0000, 0.5000, 0.0000).

This record from Alexandria describes an optimized crystal structure of La2NdScS6. The functional is PBE-GGA.

Its uncorrected formation energy is -2.07 eV per atom. For the magnetic moment, the calculation gives 0.0 μB per cell. The calculation puts the volume at 501 Å³/cell.

It has space group P2_1/c (No. 14), with a = 6.7811 Å, b = 7.3821 Å, c = 11.9462 Å, α = 90.00°, β = 123.11° and γ = 90.00°. Symmetry generates all atoms from La at (0.2105, 0.0918, 0.2465), Nd at (0.5000, 0.0000, 0.0000), Sc at (0.0000, 0.0000, 0.5000), S at (0.0984, 0.1972, 0.9286), S at (0.2355, 0.6800, 0.9294) and S at (0.3776, 0.0517, 0.7370).

This record from Alexandria describes an optimized crystal structure of NaLa3Pu2Se6. The functional is PBE-GGA.

Its uncorrected formation energy is -1.74 eV per atom. For the magnetic moment, the calculation gives 23.9 μB per cell. The calculation puts the volume at 654 Å³/cell.

It has space group C2/m (No. 12), with a = 18.5310 Å, b = 4.2583 Å, c = 8.4915 Å, α = 90.00°, β = 102.71° and γ = 90.00°. Symmetry generates all atoms from Na at (0.0000, 0.0000, 0.0000), La at (0.0000, 0.0000, 0.5000), La at (0.1653, 0.5000, 0.8337), Pu at (0.1676, 0.5000, 0.3354), Se at (0.0030, 0.5000, 0.2490), Se at (0.1660, 0.0000, 0.0912) and Se at (0.1686, 0.0000, 0.5774).

This record from Alexandria describes an optimized crystal structure of Na2TeP. The functional is PBE-GGA.

Its uncorrected formation energy is -0.13 eV per atom. The calculation puts the energy above the lowest structure with this stoichiometry at 0.12 eV per formula unit. For the magnetic moment, the calculation gives 0.0 μB per cell. The calculation puts the volume at 379 Å³/cell.

It has space group Fm-3m (No. 225), with a = 7.2357 Å, b = 7.2357 Å, c = 7.2357 Å, α = 90.00°, β = 90.00° and γ = 90.00°. Symmetry generates all atoms from Na at (0.2500, 0.2500, 0.2500), Te at (0.0000, 0.0000, 0.0000) and P at (0.0000, 0.0000, 0.5000).

This record from Alexandria describes an optimized crystal structure of BeNb2HPt. The functional is PBE-GGA.

The total DFT energy (no corrections) is -6.88 eV per atom. For the magnetic moment, the calculation gives 0.0 μB per cell. The calculation puts the volume at 64 Å³/cell.

It has space group P4/mmm (No. 123), with a = 4.0279 Å, b = 4.0279 Å, c = 3.9614 Å, α = 90.00°, β = 90.00° and γ = 90.00°. Symmetry generates all atoms from Be at (0.0000, 0.0000, 0.0000), Nb at (0.0000, 0.5000, 0.5000), H at (0.0000, 0.0000, 0.5000) and Pt at (0.5000, 0.5000, 0.0000).

- volume of number 7 (LiCaSe2)?
  358 Å³/cell

- What is the magnetic moment in the first record?
  0.0 μB per cell